1.
An optimized crystal structure of ZnCrAgHg2. Source: the Alexandria database, functional PBE.

The structure belongs to space group P4/mmm (No. 123); the cell edges are 5.331, 5.331 and 4.888 Å and the angles 90.00°, 90.00° and 90.00°. The inequivalent atoms are Zn at (0.000, 0.000, 0.000), Cr at (0.500, 0.500, 0.000), Ag at (0.000, 0.000, 0.500) and Hg at (0.000, 0.500, 0.500).

For the electronic total energy, the calculation gives -2.13 eV/atom.

---

2.
An optimized crystal structure of Ho2CrAg. Source: the Alexandria database, functional PBE.

The structure belongs to space group P4/mmm (No. 123); the cell edges are 3.598, 3.598 and 7.131 Å and the angles 90.00°, 90.00° and 90.00°. The inequivalent atoms are Ho at (0.000, 0.000, 0.243), Cr at (0.500, 0.500, 0.000) and Ag at (0.500, 0.500, 0.500).

For the electronic total energy, the calculation gives -5.38 eV/atom.